First-principles (PBE+U) data for a relaxed structure of YFe2RhO, as listed in Alexandria.

Results
The calculation puts the final energy at -5.236 eV per atom. The energy above the lowest structure with this stoichiometry comes out at 46.59 kJ/mol of atoms.

abc: 5.4761 5.4761 4.0069
angles: 90.00 90.00 90.00
With the nearest neighbours (Å) after each atom.
Space group P4/mmm (No. 123)
Inequivalent atoms, fractional coordinates:
Y (0.0000, 0.0000, 0.0000)  2 O 2.00
Fe (0.0000, 0.5000, 0.0000)  2 Y 2.74
Rh (0.5000, 0.5000, 0.5000)  8 Fe 3.39
O (0.0000, 0.0000, 0.5000)  2 Y 2.00